# Sc2Tl3SbS6 PBE optimized geometry
# SG	C2/m
# total magnetic moment	0.00	μB per formula unit
# uncorrected formation energy	-1.024	eV/atom
data_Sc2Tl3SbS6
_chemical_formula_sum 'Sc2 Tl3 Sb1 S6'
_symmetry_space_group_name_H-M 'P 1'
_symmetry_Int_Tables_number 1
_cell_length_a 6.748
_cell_length_b 6.748
_cell_length_c 7.777
_cell_angle_alpha 98.31
_cell_angle_beta 98.31
_cell_angle_gamma 119.98
loop_
_symmetry_equiv_pos_as_xyz
'x,y,z'
loop_
_atom_site_label
_atom_site_type_symbol
_atom_site_fract_x
_atom_site_fract_y
_atom_site_fract_z
Sc1 Sc 0.333 0.667 0.000
Sc2 Sc 0.667 0.333 0.000
Tl1 Tl 0.164 0.836 0.500
Tl2 Tl 0.836 0.164 0.500
Tl3 Tl 0.500 0.500 0.500
Sb1 Sb 0.000 0.000 0.000
S1 S 0.936 0.589 0.808
S2 S 0.716 0.716 0.190
S3 S 0.064 0.411 0.192
S4 S 0.589 0.936 0.808
S5 S 0.284 0.284 0.810
S6 S 0.411 0.064 0.192